NiGeCl2 (PBE-GGA, relaxed); symmetry = No. 225; polymorph energy (0 for the lowest one) = 0.2164 eV/atom
1.0
0.000 3.274 3.274
3.274 0.000 3.274
3.274 3.274 0.000
Ni Cl Ge
1 2 1
Cartesian
0.000 0.000 0.000
1.637 1.637 1.637
4.911 4.911 4.911
3.274 3.274 3.274

ThAlSe (PBE-GGA, relaxed); total DFT energy (no corrections) = -5.87 eV/atom; symmetry = No. 129
1.0
4.107 0.000 0.000
0.000 4.107 0.000
0.000 0.000 8.871
Th Se Al
2 2 2
Cartesian
0.000 2.053 6.297
2.053 0.000 2.574
0.000 2.053 3.210
2.053 0.000 5.662
2.053 2.053 0.000
0.000 0.000 0.000

PrDy4Ho8 (PBE-GGA, relaxed); total DFT energy (no corrections) = -4.40 eV/atom; symmetry = No. 166
1.0
6.411 0.000 -3.459
-4.138 5.995 0.000
1.167 0.807 9.834
Ho Dy Pr
8 4 1
Cartesian
2.520 1.740 1.274
3.759 5.061 3.570
-2.625 5.080 2.805
0.920 5.061 5.101
0.780 4.964 1.444
2.660 1.837 4.931
6.064 1.721 3.570
-0.319 1.740 2.805
0.000 0.000 0.000
-2.069 2.997 0.000
3.205 0.000 -1.729
1.136 2.997 -1.730
-1.485 3.401 4.917